First-principles (PBE) data for a relaxed structure of BeRe2Rh, as listed in Alexandria.

Total moment   0.00 Bohr magnetons per cell
Space group   No. 119
DOS(E_F)   3.77 states/eV/cell
ΔE_f   0.08 eV per atom
Crystal system   tetragonal
Energy   -8.912 eV per atom

```
BeRe2Rh
1.0
-1.423 -4.330 -0.657
0.661 -1.085 -4.426
2.853 1.806 3.132
Re Be Rh
2 1 1
direct
0.000 0.000 0.000
0.250 0.750 0.500
0.750 0.250 0.500
0.500 0.500 0.000
```